1.
VASP calculation (PBE) on an optimized crystal structure of Li2FeGeN.

Calculated values
**Raw formation energy**: -0.26 eV/atom

Lattice parameters (Å, degrees): 4.025 4.025 3.533 90.00 90.00 90.00
Fractional coordinates of all 5 atoms:
Li  0.000  0.500  0.000
Li  0.500  0.000  0.000
Fe  0.000  0.000  0.500
Ge  0.500  0.500  0.500
N  0.000  0.000  0.000

2.
VASP calculation (PBE) on an optimized crystal structure of Pm2GaAs3Rh4.

Calculated values
**Energy relative to the elements**: -0.92 eV/atom

Lattice parameters (Å, degrees): 4.218 4.218 10.254 90.00 90.00 90.00
Fractional coordinates of all 10 atoms:
Pm  0.000  0.500  0.247
Pm  0.500  0.000  0.753
Ga  0.500  0.500  0.000
As  0.000  0.000  0.000
As  0.000  0.500  0.636
As  0.500  0.000  0.364
Rh  0.000  0.000  0.500
Rh  0.000  0.500  0.871
Rh  0.500  0.000  0.129
Rh  0.500  0.500  0.500

3.
VASP calculation (PBE) on an optimized crystal structure of Mn4InNi2.

Calculated values
**Energy relative to the elements**: 1.12 eV/atom

Lattice parameters (Å, degrees): 4.868 4.868 12.218 90.00 90.00 90.00
Fractional coordinates of all 14 atoms:
Mn  0.000  0.000  0.218
Mn  0.000  0.000  0.782
Mn  0.000  0.500  0.000
Mn  0.000  0.500  0.500
Mn  0.500  0.000  0.000
Mn  0.500  0.000  0.500
Mn  0.500  0.500  0.282
Mn  0.500  0.500  0.718
In  0.000  0.000  0.000
In  0.500  0.500  0.500
Ni  0.000  0.000  0.407
Ni  0.000  0.000  0.593
Ni  0.500  0.500  0.093
Ni  0.500  0.500  0.907

Let's list magnetic moment in order: 0.183, 0.000, 34.651 Bohr magnetons per cell.